No. 1
The following is a DFT calculation (PBE) of a geometry-optimized SrAl2Tc structure.

Structure (extended XYZ):
```
4
Lattice="6.710 0.001 0.005 -2.734 4.613 -0.013 1.241 0.744 2.502" Properties=species:S:1:pos:R:3 pbc="T T T"
Al 0.000 0.000 0.000
Al 3.975 0.373 1.253
Sr -0.747 2.679 1.244
Tc 1.988 2.307 -0.004
```

## Properties
Its density of states at the Fermi level is 2.90 states/eV/cell. The distance to the lowest polymorph of the same formula comes out at 0.575 eV per atom. Its space group is Cmmm, No. 65. As for the total energy: -17.77 eV per cell. The volume is 19.4 Å³ per atom.

No. 2
The following is a DFT calculation (PBE) of a geometry-optimized SrAl2Tc structure.

Structure (extended XYZ):
```
8
Lattice="-2.152 4.118 2.279 -1.123 -2.883 4.149 5.769 2.611 6.603" Properties=species:S:1:pos:R:3 pbc="T T T"
Tc 0.000 0.000 0.000
Tc 0.990 3.674 6.048
Al 2.304 5.202 7.465
Al 3.380 3.142 6.326
Al -1.142 2.455 6.239
Al -0.580 3.896 4.164
Sr -1.637 0.618 3.214
Sr 1.505 0.173 6.983
```

## Properties
Its density of states at the Fermi level is 8.34 states/eV/cell. The distance to the lowest polymorph of the same formula comes out at 0.460 eV per atom. Its space group is I4_1/amd, No. 141. As for the total energy: -36.46 eV per cell. The volume is 28.1 Å³ per atom.

No. 3
The following is a DFT calculation (PBE) of a geometry-optimized Sr2AlTc structure.

Structure (extended XYZ):
```
4
Lattice="-4.379 1.667 -0.575 -1.243 -1.827 4.171 1.250 4.020 2.133" Properties=species:S:1:pos:R:3 pbc="T T T"
Tc -1.564 2.843 0.779
Sr -2.811 -0.080 1.798
Sr 0.000 0.000 0.000
Al 0.003 1.097 3.152
```

## Properties
Its density of states at the Fermi level is 4.38 states/eV/cell. Its space group is P4/mmm, No. 123. As for the total energy: -14.94 eV per cell. The volume is 26.3 Å³ per atom.